Fe2HgO: relaxed, PBE+U.

abc: 6.1256 6.1256 7.6280
angles: 90.00 90.00 90.00
Space group I-42d (No. 122)
One atom of each set of equivalent atoms:
Fe 0.1428 0.2500 0.1250 x8
Hg 0.0000 0.0000 0.5000 x4
O 0.0000 0.0000 0.0000 x4

Computed properties:
Magnetization in μB/f.u.: 7.832
Crystal system: tetragonal
E in eV per cell: -70.72
D(E_F) in states/eV/cell: 4.19
Volume in Å³/f.u.: 71.56